(1)
Material: Li2Pr2Mg3
Method: DFT, PBE
State: optimized geometry

Cell lengths 4.222, 24.287, 3.562 Å; angles 90.00, 90.00, 90.00 degrees
Space group Cmmm (No. 65)
Inequivalent atoms, fractional coordinates:
Li 0.000 0.217 0.000 x4
Pr 0.000 0.080 0.000 x4
Mg 0.000 0.333 0.500 x4
Mg 0.000 0.500 0.500 x2

Total magnetization in Bohr magnetons per cell: 0.000
E_form in eV per formula unit: -0.20


(2)
Material: Tb2Co2B
Method: DFT, PBE
State: optimized geometry

Cell lengths 9.875, 5.173, 6.519 Å; angles 90.00, 99.73, 90.00 degrees
Space group C2/c (No. 15)
Inequivalent atoms, fractional coordinates:
Tb 0.147 0.117 0.150 x8
Co 0.114 0.397 0.513 x8
B 0.000 0.422 0.750 x4

Total magnetization in Bohr magnetons per cell: 0.000
E_form in eV per formula unit: -0.95


(3)
Material: Pm6Sm8Pb
Method: DFT, PBE
State: optimized geometry

Cell lengths 9.4230, 9.4230, 6.6499 Å; angles 90.00, 90.00, 120.00 degrees
Space group P-3 (No. 147)
Inequivalent atoms, fractional coordinates:
Pm 0.0917 0.6467 0.1687 x6
Sm 0.0381 0.7705 0.6785 x6
Sm 0.3333 0.6667 0.6333 x2
Pb 0.0000 0.0000 0.0000 x1

Total magnetization in Bohr magnetons per cell: 0.000
E_form in eV per formula unit: 0.83


(4)
Material: Hf6Ni2C
Method: DFT, PBE
State: optimized geometry

Cell lengths 5.783, 6.293, 10.417 Å; angles 90.00, 121.50, 90.00 degrees
Space group P2_1/c (No. 14)
Inequivalent atoms, fractional coordinates:
Hf 0.105 0.026 0.243 x4
Hf 0.234 0.687 0.057 x4
Hf 0.376 0.188 0.061 x4
Ni 0.318 0.099 0.757 x4
C 0.000 0.000 0.000 x2

Total magnetization in Bohr magnetons per cell: 0.000
E_form in eV per formula unit: -3.73


(5)
Material: LaMg2Au2
Method: DFT, PBE
State: optimized geometry

Cell lengths 7.906, 7.906, 3.721 Å; angles 90.00, 90.00, 90.00 degrees
Space group P4/mbm (No. 127)
Inequivalent atoms, fractional coordinates:
La 0.000 0.000 0.000 x2
Mg 0.152 0.348 0.500 x4
Au 0.133 0.633 0.000 x4

Total magnetization in Bohr magnetons per cell: 0.000
Energy relative to the lowest polymorph listed for this composition in eV per atom: 0.170
E_form in eV per formula unit: -2.48


(6)
Material: Na3PtO
Method: DFT, PBE
State: optimized geometry

Cell lengths 4.573, 4.573, 4.573 Å; angles 90.00, 90.00, 90.00 degrees
Space group Pm-3m (No. 221)
Inequivalent atoms, fractional coordinates:
Na 0.000 0.000 0.500 x3
Pt 0.500 0.500 0.500 x1
O 0.000 0.000 0.000 x1

Total magnetization in Bohr magnetons per cell: 1.000
Energy relative to the elements, uncorrected in eV/atom: -0.41
Energy relative to the lowest polymorph listed for this composition in eV per atom: 0.000


(7)
Material: NiBi
Method: DFT, PBE
State: optimized geometry

Cell lengths 14.342, 8.283, 12.927 Å; angles 90.00, 123.59, 90.00 degrees
Space group Cm (No. 8)
Inequivalent atoms, fractional coordinates:
Ni 0.000 0.000 0.000 x2
Ni 0.002 0.241 0.502 x4
Ni 0.128 0.251 0.751 x4
Ni 0.130 0.000 0.245 x2
Ni 0.134 0.500 0.268 x2
Ni 0.233 0.000 0.129 x2
Ni 0.254 0.255 0.002 x4
Ni 0.261 0.500 0.507 x2
Ni 0.272 0.500 0.873 x2
Ni 0.377 0.237 0.249 x4
Ni 0.378 0.500 0.752 x2
Ni 0.484 0.500 0.628 x2
Bi 0.091 0.500 0.873 x2
Bi 0.107 0.000 0.876 x2
Bi 0.108 0.243 0.377 x4
Bi 0.138 0.272 0.120 x4
Bi 0.146 0.500 0.621 x2
Bi 0.164 0.000 0.625 x2
Bi 0.356 0.000 0.381 x2
Bi 0.357 0.500 0.371 x2
Bi 0.363 0.229 0.874 x4
Bi 0.390 0.229 0.625 x4
Bi 0.401 0.500 0.130 x2
Bi 0.412 0.000 0.124 x2

Total magnetization in Bohr magnetons per cell: 0.000
E_form in eV per formula unit: -0.04


(8)
Material: AlGa2Te3
Method: DFT, PBE
State: optimized geometry

Cell lengths 4.168, 17.643, 4.184 Å; angles 90.00, 90.00, 90.00 degrees
Space group Imm2 (No. 44)
Inequivalent atoms, fractional coordinates:
Al 0.000 0.000 0.000 x2
Ga 0.000 0.333 0.002 x4
Te 0.000 0.162 0.002 x4
Te 0.000 0.500 0.002 x2

Total magnetization in Bohr magnetons per cell: 0.000
Energy relative to the elements, uncorrected in eV/atom: -0.22


(9)
Material: Ta2ZnSe
Method: DFT, PBE
State: optimized geometry

Cell lengths 9.685, 3.082, 4.671 Å; angles 90.00, 103.44, 90.00 degrees
Space group Cm (No. 8)
Inequivalent atoms, fractional coordinates:
Ta 0.000 0.000 0.000 x2
Ta 0.215 0.000 0.629 x2
Zn 0.241 0.500 0.135 x2
Se 0.486 0.000 0.499 x2

Total magnetization in Bohr magnetons per cell: 0.000
Energy relative to the elements, uncorrected in eV/atom: 0.03
Energy relative to the lowest polymorph listed for this composition in eV per atom: 0.059


(10)
Material: CaSmY2
Method: DFT, PBE
State: optimized geometry

Cell lengths 8.197, 8.197, 8.197 Å; angles 90.00, 90.00, 90.00 degrees
Space group Fm-3m (No. 225)
Inequivalent atoms, fractional coordinates:
Ca 0.000 0.000 0.000 x4
Sm 0.000 0.000 0.500 x4
Y 0.250 0.250 0.250 x8

Total magnetization in Bohr magnetons per cell: 2.795
Energy relative to the lowest polymorph listed for this composition in eV per atom: 0.107
E_form in eV per formula unit: 0.65


(11)
Material: PrAsO2
Method: DFT, PBE
State: optimized geometry

Cell lengths 3.5123, 3.5123, 20.0373 Å; angles 90.00, 90.00, 120.00 degrees
Space group R-3m (No. 166, hexagonal axes)
Inequivalent atoms, fractional coordinates:
Pr 0.0000 0.0000 0.0000 x3
As 0.0000 0.0000 0.5000 x3
O 0.0000 0.0000 0.1160 x6

Total magnetization in Bohr magnetons per cell: 0.001
Energy relative to the elements, uncorrected in eV/atom: -0.99


(12)
Material: POs2Se
Method: DFT, PBE
State: optimized geometry

Cell lengths 2.9307, 2.9307, 28.6274 Å; angles 90.00, 90.00, 120.00 degrees
Space group R3m (No. 160, hexagonal axes)
Inequivalent atoms, fractional coordinates:
P 0.0000 0.0000 0.0000 x3
Os 0.0000 0.0000 0.2756 x3
Os 0.0000 0.0000 0.5293 x3
Se 0.0000 0.0000 0.7978 x3

Total magnetization in Bohr magnetons per cell: 0.000
Energy relative to the elements, uncorrected in eV/atom: 0.25
Energy relative to the lowest polymorph listed for this composition in eV per atom: 0.058